Ba3U2MoO9 after structural relaxation, computed with PBE+U.

Unit cell a=6.1496 b=6.1496 c=7.5683 alpha=90.00 beta=90.00 gamma=120.00
Last column: nearest neighbours and their distance in Å.
Positions (direct):
U: 0.6667 0.3333 0.8250  6 O 2.16-2.21
U: 0.3333 0.6667 0.1750  6 O 2.16-2.21
O: 0.5000 0.5000 0.0000  2 U 2.21
O: 0.8346 0.1654 0.6645  1 Mo 2.16, 1 U 2.16
O: 0.3308 0.1654 0.6645  1 Mo 2.16, 1 U 2.16
O: 0.6692 0.8346 0.3355  1 Mo 2.16, 1 U 2.16
O: 0.1654 0.8346 0.3355  1 Mo 2.16, 1 U 2.16
O: 0.5000 0.0000 0.0000  2 U 2.21
O: 0.0000 0.5000 0.0000  2 U 2.21
O: 0.1654 0.3308 0.3355  1 Mo 2.16, 1 U 2.16
O: 0.8346 0.6692 0.6645  1 Mo 2.16, 1 U 2.16
Mo: 0.0000 0.0000 0.5000  6 O 2.16
Ba: 0.0000 0.0000 0.0000  12 O 3.07-3.09
Ba: 0.6667 0.3333 0.3426  12 O 3.02-3.14
Ba: 0.3333 0.6667 0.6574  12 O 3.02-3.14

Output
DFT total energy, eV per cell: -123.3
V, Å³ per cell: 248
Magnetic moment, μB/atom: 0.40